No. 1
## SmErSc2S6 (GGA-PBE)

Data for SmErSc2S6 after structural relaxation.

Lattice parameters (Å, degrees): 6.7349 6.7349 7.1094 61.73 61.73 60.00
Sites, in units of the cell vectors:
Sm: 0.8079 0.8079 0.5763
Er: 0.3139 0.3139 0.0583
Sc: 0.5140 0.5138 0.4584
Sc: 0.0111 0.0112 0.9665
S: 0.6275 0.2368 0.2420
S: 0.2368 0.8937 0.2420
S: 0.8938 0.6275 0.2420
S: 0.3783 0.7357 0.7432
S: 0.7356 0.1427 0.7432
S: 0.1428 0.3784 0.7432

Results
E_form (uncorrected) ... -1.955 eV/atom
DOS at the Fermi energy ... 0.000 states/eV/atom
Raw total energy ... -0.2435 Ha/atom
Space group ... No. 146

No. 2
## Re2Se (GGA-PBE)

Data for Re2Se after structural relaxation.

Lattice parameters (Å, degrees): 11.4085 11.4085 11.4085 158.90 158.90 30.01
Sites, in units of the cell vectors:
Re: 0.7656 0.7656 0.0000
Re: 0.2344 0.2344 0.0000
Re: 0.0156 0.5156 0.5000
Re: 0.4844 0.9844 0.5000
Re: 0.5934 0.5934 0.0000
Re: 0.4066 0.4066 0.0000
Re: 0.8434 0.3434 0.5000
Re: 0.6566 0.1566 0.5000
Se: 0.9274 0.9274 0.0000
Se: 0.0726 0.0726 0.0000
Se: 0.1774 0.6774 0.5000
Se: 0.3226 0.8226 0.5000

Results
E_form (uncorrected) ... 0.605 eV/atom
DOS at the Fermi energy ... 0.405 states/eV/atom
Raw total energy ... -0.3254 Ha/atom
Space group ... No. 141

No. 3
## La3Mo (GGA-PBE)

Data for La3Mo after structural relaxation.

Lattice parameters (Å, degrees): 7.8026 7.8026 4.2747 90.00 90.00 105.13
Sites, in units of the cell vectors:
La: 0.4421 0.1907 0.7500
La: 0.8777 0.1223 0.7500
La: 0.1907 0.4421 0.2500
La: 0.8093 0.5579 0.7500
La: 0.1223 0.8777 0.2500
La: 0.5579 0.8093 0.2500
Mo: 0.7163 0.2837 0.2500
Mo: 0.2837 0.7163 0.7500

Results
Energy of formation from the pure elements ... 0.272 eV per atom
DOS at the Fermi energy ... 1.440 states/eV/atom
Raw total energy ... -0.2253 Ha/atom
Space group ... No. 63

No. 4
## PrNd7In2 (GGA-PBE)

Data for PrNd7In2 after structural relaxation.

Lattice parameters (Å, degrees): 5.5585 9.2184 9.2184 118.98 90.00 90.00
Sites, in units of the cell vectors:
Pr: 0.0000 0.0000 0.0000
Nd: 0.0000 0.7727 0.2273
Nd: 0.0000 0.2273 0.7727
Nd: 0.5000 0.0594 0.3032
Nd: 0.5000 0.9406 0.6968
Nd: 0.5000 0.3032 0.0594
Nd: 0.5000 0.6968 0.9406
Nd: 0.5000 0.5000 0.5000
In: 0.5000 0.6957 0.3043
In: 0.5000 0.3043 0.6957

Results
Energy of formation from the pure elements ... 0.304 eV per atom
DOS at the Fermi energy ... 1.907 states/eV/atom
Raw total energy ... -0.1492 Ha/atom
Space group ... No. 65

No. 5
## YMn2Ge2 (GGA-PBE)

Data for YMn2Ge2 after structural relaxation.

Lattice parameters (Å, degrees): 4.3319 4.3319 5.3944 66.33 66.33 90.00
Each line ends with the local moment (μB).
Sites, in units of the cell vectors:
Y: 0.0000 0.0000 0.0000  -0.03
Ge: 0.7500 0.2500 0.5000  -0.02
Ge: 0.2500 0.7500 0.5000  -0.02
Mn: 0.3860 0.3860 0.2280  0.91
Mn: 0.6140 0.6140 0.7720  0.91

Results
Energy of formation from the pure elements ... -0.239 eV per atom
DOS at the Fermi energy ... 0.992 states/eV/atom
Raw total energy ... -0.2590 Ha/atom
Space group ... No. 139

No. 6
## NdThRh (GGA-PBE)

Data for NdThRh after structural relaxation.

Lattice parameters (Å, degrees): 4.4886 4.6408 4.6408 120.00 90.00 90.00
Sites, in units of the cell vectors:
Rh: 0.0999 0.0000 0.0000
Nd: 0.6862 0.6667 0.3333
Th: 0.2139 0.3333 0.6667

Results
Energy of formation from the pure elements ... -0.323 eV per atom
DOS at the Fermi energy ... 0.839 states/eV/atom
Raw total energy ... -0.2512 Ha/atom
Space group ... No. 156